1.
PBE UCo6Si, optimized geometry; ρ = 10.77 g/cm3; calculated volume = 95.5 Å³ per cell; total moment = 3.46 μB/f.u.; formation energy from raw total energies = -0.22 eV per atom
1.0
3.607 -3.612 0.000
3.607 3.612 0.000
0.000 0.000 3.665
U Co Si
1 6 1
Direct
0.000 0.000 0.000
0.000 0.500 0.000
0.260 0.740 0.500
0.261 0.261 0.500
0.500 0.000 0.000
0.739 0.739 0.500
0.740 0.260 0.500
0.500 0.500 0.000

---

2.
PBE BaTc2Ir, optimized geometry; energy above the most stable polymorph in this dataset = 1.52 eV/f.u.; ρ = 8.55 g/cm3; calculated volume = 102.1 Å³ per cell; total moment = 0.00 μB/f.u.; DFT formation energy = 67.4 kJ/mol of atoms
1.0
3.885 0.000 0.000
0.000 4.624 0.000
-1.208 0.000 5.683
Ba Tc Ir
1 2 1
Direct
0.000 0.000 0.000
0.276 0.500 0.613
0.724 0.500 0.387
0.500 0.000 0.500

---

3.
PBE LiAcSn2Se4, optimized geometry; ρ = 5.91 g/cm3; calculated volume = 442.7 Å³ per cell; total moment = 0.00 μB/f.u.; formation energy from raw total energies = -1.05 eV per atom
1.0
2.131 -7.086 0.000
2.131 7.086 0.000
0.000 0.000 14.660
Li Ac Sn Se
2 2 4 8
Direct
0.150 0.850 0.750
0.850 0.150 0.250
0.114 0.886 0.250
0.886 0.114 0.750
0.369 0.631 0.054
0.369 0.631 0.446
0.631 0.369 0.554
0.631 0.369 0.946
0.000 0.000 0.000
0.000 0.000 0.500
0.279 0.721 0.626
0.279 0.721 0.874
0.453 0.547 0.250
0.547 0.453 0.750
0.721 0.279 0.126
0.721 0.279 0.374

---

4.
PBE Er3Se2, optimized geometry; energy above the most stable polymorph in this dataset = 0.63 eV/f.u.; ρ = 8.26 g/cm3; calculated volume = 265.3 Å³ per cell; total moment = 0.00 μB/f.u.; formation energy from raw total energies = -1.23 eV per atom
1.0
3.424 1.977 6.531
-3.424 1.977 6.531
0.000 -3.954 6.531
Er Se
6 4
Direct
0.083 0.750 0.417
0.250 0.583 0.917
0.417 0.083 0.750
0.583 0.917 0.250
0.750 0.417 0.083
0.917 0.250 0.583
0.164 0.164 0.164
0.336 0.336 0.336
0.664 0.664 0.664
0.836 0.836 0.836